## P
The following is a DFT calculation (PBE) of a geometry-optimized Li2MoPd structure.

Cell: 6.821 6.821 5.126 Å, 90.00 90.00 90.00°
Space group I-42d (No. 122)
One atom of each set of equivalent atoms:
Li: 0.230 0.250 0.125 x8
Mo: 0.000 0.000 0.500 x4
Pd: 0.000 0.000 0.000 x4

Output
density = 6.02 g/cm³
DOS(E_F) = 3.565 states/eV/f.u.

## Q
The following is a DFT calculation (PBE) of a geometry-optimized Li2MoPd structure.

Cell: 5.994 5.994 5.994 Å, 90.00 90.00 90.00°
Space group Fm-3m (No. 225)
One atom of each set of equivalent atoms:
Li: 0.250 0.250 0.250 x8
Mo: 0.000 0.000 0.000 x4
Pd: 0.000 0.000 0.500 x4

Output
density = 6.67 g/cm³
DOS(E_F) = 6.531 states/eV/f.u.

Least stable structure: P

## P
The following is a DFT calculation (PBE) of a geometry-optimized LiMoPt structure.

Cell: 2.792 2.792 24.960 Å, 90.00 90.00 90.00°
Space group I4/mmm (No. 139)
One atom of each set of equivalent atoms:
Li: 0.000 0.000 0.060 x4
Mo: 0.000 0.000 0.206 x4
Pt: 0.000 0.000 0.369 x4

Output
density = 10.17 g/cm³
DOS(E_F) = 1.856 states/eV/f.u.

## Q
The following is a DFT calculation (PBE) of a geometry-optimized LiMoPt structure.

Cell: 4.3085 4.3085 2.6703 Å, 90.00 90.00 120.00°
Space group P3m1 (No. 156)
One atom of each set of equivalent atoms:
Li: 0.0000 0.0000 0.0000 x1
Mo: 0.6667 0.3333 0.3838 x1
Pt: 0.3333 0.6667 0.7662 x1

Output
density = 11.53 g/cm³
DOS(E_F) = 1.748 states/eV/f.u.

## R
The following is a DFT calculation (PBE) of a geometry-optimized LiMoPt structure.

Cell: 5.900 5.900 5.900 Å, 90.00 90.00 90.00°
Space group F-43m (No. 216)
One atom of each set of equivalent atoms:
Li: 0.000 0.000 0.000 x4
Mo: 0.250 0.250 0.750 x4
Pt: 0.000 0.000 0.500 x4

Output
density = 9.64 g/cm³
DOS(E_F) = 2.273 states/eV/f.u.

## S
The following is a DFT calculation (PBE) of a geometry-optimized LiMoPt structure.

Cell: 2.706 4.054 7.919 Å, 90.00 90.00 90.00°
Space group Imm2 (No. 44)
One atom of each set of equivalent atoms:
Li: 0.000 0.000 0.000 x2
Mo: 0.000 0.000 0.325 x2
Pt: 0.000 0.000 0.663 x2

Output
density = 11.39 g/cm³
DOS(E_F) = 2.167 states/eV/f.u.

Least stable structure: R

## P
The following is a DFT calculation (PBE) of a geometry-optimized LiMoPt structure.

Cell: 5.901 5.901 5.901 Å, 90.00 90.00 90.00°
Space group F-43m (No. 216)
One atom of each set of equivalent atoms:
Li: 0.000 0.000 0.000 x4
Mo: 0.000 0.000 0.500 x4
Pt: 0.250 0.250 0.250 x4

Output
density = 9.63 g/cm³
DOS(E_F) = 3.229 states/eV/f.u.

## Q
The following is a DFT calculation (PBE) of a geometry-optimized LiMoPt structure.

Cell: 2.756 2.756 11.525 Å, 90.00 90.00 90.00°
Space group I4mm (No. 107)
One atom of each set of equivalent atoms:
Li: 0.000 0.000 0.000 x2
Mo: 0.000 0.000 0.318 x2
Pt: 0.000 0.000 0.649 x2

Output
density = 11.30 g/cm³
DOS(E_F) = 1.808 states/eV/f.u.

Least stable structure: P

## P
The following is a DFT calculation (PBE) of a geometry-optimized Rb2LiMo structure.

Cell: 9.068 9.068 9.068 Å, 90.00 90.00 90.00°
Space group Fm-3m (No. 225)
One atom of each set of equivalent atoms:
Rb: 0.250 0.250 0.250 x8
Li: 0.000 0.000 0.000 x4
Mo: 0.000 0.000 0.500 x4

Output
density = 2.44 g/cm³
DOS(E_F) = 1.729 states/eV/f.u.

## Q
The following is a DFT calculation (PBE) of a geometry-optimized Rb2LiMo structure.

Cell: 10.214 10.214 7.120 Å, 90.00 90.00 90.00°
Space group I-42d (No. 122)
One atom of each set of equivalent atoms:
Rb: 0.239 0.250 0.125 x8
Li: 0.000 0.000 0.000 x4
Mo: 0.000 0.000 0.500 x4

Output
density = 2.45 g/cm³
DOS(E_F) = 2.548 states/eV/f.u.

Least stable structure: Q

## P
The following is a DFT calculation (PBE) of a geometry-optimized LiReMo2 structure.

Cell: 3.207 3.207 5.643 Å, 90.00 90.00 90.00°
Space group P4/mmm (No. 123)
One atom of each set of equivalent atoms:
Li: 0.000 0.000 0.000 x1
Re: 0.000 0.000 0.500 x1
Mo: 0.500 0.500 0.234 x2

Output
density = 11.01 g/cm³
DOS(E_F) = 3.732 states/eV/f.u.

## Q
The following is a DFT calculation (PBE) of a geometry-optimized LiReMo2 structure.

Cell: 3.101 4.365 9.154 Å, 90.00 90.00 90.00°
Space group Cmm2 (No. 35)
One atom of each set of equivalent atoms:
Li: 0.000 0.000 0.000 x2
Re: 0.000 0.500 0.752 x2
Mo: 0.000 0.000 0.511 x2
Mo: 0.000 0.500 0.264 x2

Output
density = 10.32 g/cm³
DOS(E_F) = 2.619 states/eV/f.u.

Least stable structure: P

## P
The following is a DFT calculation (PBE) of a geometry-optimized Li2ReMo structure.

Cell: 2.553 4.754 5.028 Å, 90.00 102.72 90.00°
Space group P2/m (No. 10)
One atom of each set of equivalent atoms:
Li: 0.244 0.000 0.259 x2
Re: 0.000 0.500 0.500 x1
Mo: 0.500 0.500 0.000 x1

Output
density = 8.26 g/cm³
DOS(E_F) = 1.750 states/eV/f.u.

## Q
The following is a DFT calculation (PBE) of a geometry-optimized Li2ReMo structure.

Cell: 2.591 2.591 9.322 Å, 90.00 90.00 90.00°
Space group P4mm (No. 99)
One atom of each set of equivalent atoms:
Li: 0.000 0.000 0.000 x1
Li: 0.500 0.500 0.272 x1
Re: 0.500 0.500 0.768 x1
Mo: 0.000 0.000 0.518 x1

Output
density = 7.86 g/cm³
DOS(E_F) = 3.109 states/eV/f.u.

## R
The following is a DFT calculation (PBE) of a geometry-optimized Li2ReMo structure.

Cell: 3.007 4.156 9.594 Å, 90.00 90.00 90.00°
Space group Cmmm (No. 65)
One atom of each set of equivalent atoms:
Li: 0.000 0.000 0.241 x4
Re: 0.000 0.500 0.000 x2
Mo: 0.000 0.500 0.500 x2

Output
density = 8.20 g/cm³
DOS(E_F) = 3.049 states/eV/f.u.

## S
The following is a DFT calculation (PBE) of a geometry-optimized Li2ReMo structure.

Cell: 3.260 3.260 4.995 Å, 90.00 90.00 90.00°
Space group P4/mmm (No. 123)
One atom of each set of equivalent atoms:
Li: 0.000 0.000 0.240 x2
Re: 0.500 0.500 0.000 x1
Mo: 0.500 0.500 0.500 x1

Output
density = 9.26 g/cm³
DOS(E_F) = 1.825 states/eV/f.u.

Least stable structure: S

## P
The following is a DFT calculation (PBE) of a geometry-optimized Li2ReMo structure.

Cell: 6.091 6.091 6.091 Å, 90.00 90.00 90.00°
Space group F-43m (No. 216)
One atom of each set of equivalent atoms:
Li: 0.000 0.000 0.000 x4
Li: 0.250 0.250 0.250 x4
Re: 0.250 0.250 0.750 x4
Mo: 0.000 0.000 0.500 x4

Output
density = 8.70 g/cm³
DOS(E_F) = 3.177 states/eV/f.u.

## Q
The following is a DFT calculation (PBE) of a geometry-optimized Li2ReMo structure.

Cell: 2.6787 2.6787 29.2740 Å, 90.00 90.00 120.00°
Space group R-3m (No. 166, hexagonal axes)
One atom of each set of equivalent atoms:
Li: 0.0000 0.0000 0.2471 x6
Re: 0.0000 0.0000 0.5000 x3
Mo: 0.0000 0.0000 0.0000 x3

Output
density = 8.11 g/cm³
DOS(E_F) = 5.380 states/eV/f.u.

## R
The following is a DFT calculation (PBE) of a geometry-optimized Li2ReMo structure.

Cell: 2.563 4.344 5.512 Å, 90.00 96.94 90.00°
Space group Pm (No. 6)
One atom of each set of equivalent atoms:
Li: 0.000 0.000 0.000 x1
Li: 0.140 0.500 0.777 x1
Re: 0.447 0.000 0.496 x1
Mo: 0.683 0.500 0.296 x1

Output
density = 8.07 g/cm³
DOS(E_F) = 2.494 states/eV/f.u.

## S
The following is a DFT calculation (PBE) of a geometry-optimized Li2ReMo structure.

Cell: 3.140 3.140 6.350 Å, 90.00 90.00 90.00°
Space group P4mm (No. 99)
One atom of each set of equivalent atoms:
Li: 0.000 0.000 0.000 x1
Li: 0.500 0.500 0.249 x1
Re: 0.500 0.500 0.734 x1
Mo: 0.000 0.000 0.534 x1

Output
density = 7.85 g/cm³
DOS(E_F) = 3.089 states/eV/f.u.

Least stable structure: Q

## P
The following is a DFT calculation (PBE) of a geometry-optimized Li2ReMo structure.

Cell: 6.864 6.864 4.878 Å, 90.00 90.00 90.00°
Space group I-42d (No. 122)
One atom of each set of equivalent atoms:
Li: 0.247 0.250 0.125 x8
Re: 0.000 0.000 0.000 x4
Mo: 0.000 0.000 0.500 x4

Output
density = 8.56 g/cm³
DOS(E_F) = 3.209 states/eV/f.u.

## Q
The following is a DFT calculation (PBE) of a geometry-optimized Li2ReMo structure.

Cell: 3.582 3.582 4.623 Å, 90.00 90.00 90.00°
Space group P4/mmm (No. 123)
One atom of each set of equivalent atoms:
Li: 0.000 0.500 0.000 x2
Re: 0.000 0.000 0.500 x1
Mo: 0.500 0.500 0.500 x1

Output
density = 8.29 g/cm³
DOS(E_F) = 2.034 states/eV/f.u.

## R
The following is a DFT calculation (PBE) of a geometry-optimized Li2ReMo structure.

Cell: 3.050 4.373 9.454 Å, 90.00 90.00 90.00°
Space group Cmm2 (No. 35)
One atom of each set of equivalent atoms:
Li: 0.000 0.000 0.000 x2
Li: 0.000 0.500 0.275 x2
Re: 0.000 0.000 0.514 x2
Mo: 0.000 0.500 0.748 x2

Output
density = 7.80 g/cm³
DOS(E_F) = 2.238 states/eV/f.u.

## S
The following is a DFT calculation (PBE) of a geometry-optimized Li2ReMo structure.

Cell: 3.581 3.581 9.243 Å, 90.00 90.00 90.00°
Space group I4/mmm (No. 139)
One atom of each set of equivalent atoms:
Li: 0.000 0.500 0.250 x4
Re: 0.000 0.000 0.000 x2
Mo: 0.000 0.000 0.500 x2

Output
density = 8.29 g/cm³
DOS(E_F) = 2.780 states/eV/f.u.

Least stable structure: P

## P
The following is a DFT calculation (PBE) of a geometry-optimized Li2ReMo structure.

Cell: 5.089 9.236 2.528 Å, 90.00 90.00 90.00°
Space group Cmmm (No. 65)
One atom of each set of equivalent atoms:
Li: 0.250 0.250 0.000 x4
Re: 0.000 0.000 0.500 x2
Mo: 0.000 0.500 0.500 x2

Output
density = 8.27 g/cm³
DOS(E_F) = 1.994 states/eV/f.u.

## Q
The following is a DFT calculation (PBE) of a geometry-optimized Li2ReMo structure.

Cell: 2.543 4.248 5.741 Å, 90.00 90.00 90.00°
Space group Pmm2 (No. 25)
One atom of each set of equivalent atoms:
Li: 0.000 0.000 0.000 x1
Li: 0.500 0.500 0.218 x1
Re: 0.500 0.500 0.716 x1
Mo: 0.000 0.000 0.515 x1

Output
density = 7.93 g/cm³
DOS(E_F) = 1.237 states/eV/f.u.

Least stable structure: P

## P
The following is a DFT calculation (PBE) of a geometry-optimized LiReMo structure.

Cell: 3.235 3.235 8.177 Å, 90.00 90.00 90.00°
Space group I4mm (No. 107)
One atom of each set of equivalent atoms:
Li: 0.000 0.000 0.000 x2
Re: 0.000 0.000 0.333 x2
Mo: 0.000 0.000 0.672 x2

Output
density = 11.22 g/cm³
DOS(E_F) = 2.424 states/eV/f.u.

## Q
The following is a DFT calculation (PBE) of a geometry-optimized LiReMo structure.

Cell: 2.568 4.368 7.797 Å, 90.00 90.00 90.00°
Space group Imm2 (No. 44)
One atom of each set of equivalent atoms:
Li: 0.000 0.000 0.000 x2
Re: 0.000 0.000 0.337 x2
Mo: 0.000 0.000 0.666 x2

Output
density = 10.98 g/cm³
DOS(E_F) = 1.559 states/eV/f.u.

## R
The following is a DFT calculation (PBE) of a geometry-optimized LiReMo structure.

Cell: 5.924 5.924 5.924 Å, 90.00 90.00 90.00°
Space group F-43m (No. 216)
One atom of each set of equivalent atoms:
Li: 0.000 0.000 0.000 x4
Re: 0.250 0.250 0.750 x4
Mo: 0.000 0.000 0.500 x4

Output
density = 9.24 g/cm³
DOS(E_F) = 2.292 states/eV/f.u.

Least stable structure: R